Record 1
First-principles (PBE) data for a relaxed ErPuPaIn crystal, as listed in the Alexandria database.

The calculation puts the size of the total moment at 28.104 Bohr magnetons per cell. The density is 12.282 g/cm³. For the formation energy, the calculation gives 98 meV per atom. The value obtained for the volume is 25.59 Å³ per atom. The calculation puts the final energy at -122.9 eV/cell.

The space group is F-43m (No. 216) and the conventional cell measures 7.426, 7.426 and 7.426 Å, with angles of 90.00, 90.00 and 90.00 degrees. The inequivalent atoms are Er at (0.000, 0.000, 0.000), Pu at (0.000, 0.000, 0.500), Pa at (0.250, 0.250, 0.750) and In at (0.250, 0.250, 0.250).

Record 2
First-principles (PBE) data for a relaxed Er3PaIn3Se8 crystal, as listed in the Alexandria database.

The calculation puts the size of the total moment at 3.167 Bohr magnetons per cell. The density is 6.199 g/cm³. The value obtained for the volume is 30.52 Å³ per atom. The value obtained for the energy relative to the elements, uncorrected is -1.3026 eV/atom. The calculation puts the final energy at -236.4 eV/cell.

The space group is R-3m (No. 166, hexagonal axes) and the conventional cell measures 8.2370, 8.2370 and 23.3720 Å, with angles of 90.00, 90.00 and 120.00 degrees. The inequivalent atoms are Er at (0.0000, 0.5000, 0.0000), Pa at (0.0000, 0.0000, 0.0000), In at (0.0000, 0.5000, 0.5000), Se at (0.0000, 0.0000, 0.2652) and Se at (0.0001, 0.5000, 0.2649).

Record 3
First-principles (PBE) data for a relaxed ErPaInSn crystal, as listed in the Alexandria database.

The calculation puts the size of the total moment at 6.936 Bohr magnetons per cell. The density is 9.920 g/cm³. For the formation energy, the calculation gives -175 meV per atom. The value obtained for the volume is 26.44 Å³ per atom. The calculation puts the final energy at -86.0 eV/cell.

The space group is F-43m (No. 216) and the conventional cell measures 7.507, 7.507 and 7.507 Å, with angles of 90.00, 90.00 and 90.00 degrees. The inequivalent atoms are Er at (0.000, 0.000, 0.000), Pa at (0.000, 0.000, 0.500), In at (0.250, 0.250, 0.750) and Sn at (0.250, 0.250, 0.250).

Record 4
First-principles (PBE) data for a relaxed Er2PaIn3Te6 crystal, as listed in the Alexandria database.

The calculation puts the size of the total moment at 3.964 Bohr magnetons per cell. The density is 6.855 g/cm³. The value obtained for the volume is 33.82 Å³ per atom. The value obtained for the energy relative to the elements, uncorrected is -0.7855 eV/atom. The calculation puts the final energy at -110.2 eV/cell.

The space group is C2/m (No. 12) and the conventional cell measures 7.541, 13.057 and 8.619 Å, with angles of 90.00, 106.95 and 90.00 degrees. The inequivalent atoms are Er at (0.000, 0.167, 0.000), Pa at (0.000, 0.500, 0.000), In at (0.000, 0.000, 0.500), In at (0.000, 0.334, 0.500), Te at (0.237, 0.000, 0.219) and Te at (0.241, 0.332, 0.220).

Record 5
First-principles (PBE) data for a relaxed Er4InPb2 crystal, as listed in the Alexandria database.

The calculation puts the size of the total moment at 0.001 Bohr magnetons per cell. The density is 9.809 g/cm³. For the formation energy, the calculation gives -299 meV per atom. The value obtained for the volume is 28.98 Å³ per atom. The calculation puts the final energy at -61.0 eV/cell.

The space group is P2_1/m (No. 11) and the conventional cell measures 6.027, 6.646 and 10.438 Å, with angles of 90.00, 104.00 and 90.00 degrees. The inequivalent atoms are Er at (0.024, 0.250, 0.340), Er at (0.142, 0.250, 0.957), Er at (0.471, 0.505, 0.235), In at (0.058, 0.250, 0.660), Pb at (0.304, 0.750, 0.959) and Pb at (0.419, 0.750, 0.500).

Record 6
First-principles (PBE) data for a relaxed ErIn2Pb crystal, as listed in the Alexandria database.

The calculation puts the size of the total moment at 0.000 Bohr magnetons per cell. The density is 9.420 g/cm³. For the formation energy, the calculation gives -272 meV per atom. As for the relative energy among the computed polymorphs: 46 meV per atom. The value obtained for the volume is 26.62 Å³ per atom. The calculation puts the final energy at -59.3 eV/cell.

The space group is Imma (No. 74) and the conventional cell measures 6.442, 7.888 and 8.382 Å, with angles of 90.00, 90.00 and 90.00 degrees. The inequivalent atoms are Er at (0.000, 0.250, 0.053), In at (0.250, 0.052, 0.750) and Pb at (0.000, 0.250, 0.454).